Computed, not measured: a relaxed K2PuTeO2 crystal at the GGA-PBE level of DFT.

It has space group P4/mmm (No. 123), with a = 4.435 Å, b = 4.435 Å, c = 6.796 Å, α = 90.00°, β = 90.00° and γ = 90.00°. The distinct sites, in fractional coordinates, are K at (0.000, 0.000, 0.233), Pu at (0.500, 0.500, 0.500), Te at (0.500, 0.500, 0.000) and O at (0.000, 0.500, 0.500).

For the magnetic moment, the calculation gives 4.0 μB per formula unit. As for the crystal system: tetragonal. The value obtained for the total energy is -6.8058 eV per atom. For the uncorrected formation energy, the calculation gives -11.2 eV per formula unit.